Density functional theory data (SCAN) for a crystal of Cr2InSe relaxed with PBEsol.

It has space group I-4m2 (No. 119), with a = 3.836 Å, b = 3.836 Å, c = 9.564 Å, α = 90.00°, β = 90.00° and γ = 90.00°. The inequivalent atoms are Cr at (0.000, 0.000, 0.000), Cr at (0.000, 0.500, 0.250), In at (0.000, 0.000, 0.500) and Se at (0.000, 0.500, 0.750).

The volume is 17.59 Å³ per atom. The total energy is -179.62 eV per cell. The total moment is 15.9 μB per cell. The calculation puts the formation energy (no corrections) at 0.11 eV per atom.